A plane-wave DFT calculation with GGA-PBE was carried out for YPa2Se6 after structural relaxation.

Unit cell a=6.6873 b=6.6873 c=12.6831 alpha=90.00 beta=90.00 gamma=90.00
Last column: magnetic moment on the atom in μB.
Fractional positions:
Y (0.0000, 0.0000, 0.0000)  0.01
Se (0.8059, 0.1941, 0.5000)  -0.02
Pa (0.5000, 0.5000, 0.1670)  0.58
Se (0.3005, 0.3005, 0.6694)  -0.02
Se (0.3059, 0.3059, 0.0000)  -0.02
Se (0.1995, 0.8005, 0.1694)  -0.02
Se (0.8005, 0.1995, 0.1694)  -0.02
Pa (0.5000, 0.5000, 0.8330)  0.58
Se (0.8005, 0.1995, 0.8306)  -0.02
Se (0.6941, 0.6941, 0.0000)  -0.02
Se (0.1941, 0.8059, 0.5000)  -0.02
Se (0.3005, 0.3005, 0.3306)  -0.02
Y (0.5000, 0.5000, 0.5000)  0.01
Se (0.1995, 0.8005, 0.8306)  -0.02
Se (0.6995, 0.6995, 0.3306)  -0.02
Pa (0.0000, 0.0000, 0.3330)  0.58
Pa (0.0000, 0.0000, 0.6670)  0.58
Se (0.6995, 0.6995, 0.6694)  -0.02

Results
Formation energy (no corrections) in eV/atom: -1.404
DFT total energy in eV/atom: -6.56
DOS(E_F) in states/eV/cell: 14.048
Crystal system: tetragonal